LaMgSn | Alexandria via LeMat-Bulk | GGA-PBE | optimized geometry; calculated formation energy = -624.5 meV/atom; symmetry = I4/mmm, No. 139
1.0
-2.2914 2.2914 8.2597
2.2914 -2.2914 8.2597
2.2914 2.2914 -8.2597
La Mg Sn
2 2 2
Direct
0.1649 0.1649 0.0000
0.8351 0.8351 0.0000
0.0000 0.5000 0.5000
0.5000 0.0000 0.5000
0.3697 0.3697 0.0000
0.6303 0.6303 0.0000